Entry 1:
Density functional theory data (PBE) for crystalline TmCF at its relaxed geometry.

Output
DOS at the Fermi energy   0.21 states/eV per atom
Total magnetization   0.00 μB per cell
Formation energy without anion corrections   -1.5139 eV/atom

Geometry as POSCAR:
```
TmCF
1.0
6.354 0.000 0.000
0.000 6.662 0.000
0.000 0.000 3.719
F C Tm
4 4 4
Cartesian
3.724 5.953 2.789 F
3.724 4.040 0.930 F
2.630 0.709 0.930 F
2.630 2.622 2.789 F
6.123 1.666 1.860 C
6.123 1.666 0.000 C
0.231 4.997 1.860 C
0.231 4.997 0.000 C
1.459 3.157 0.930 Tm
4.896 6.488 0.930 Tm
4.896 3.506 2.789 Tm
1.459 0.174 2.789 Tm
```

=====

Entry 2:
Density functional theory data (PBE) for crystalline Pa4SiP2Se at its relaxed geometry.

Output
DOS at the Fermi energy   1.15 states/eV per atom
Total magnetization   0.00 μB per cell
Formation energy without anion corrections   -1.0957 eV/atom

Geometry as POSCAR:
```
Pa4SiP2Se
1.0
4.007 0.000 0.000
0.000 7.016 -0.170
0.000 2.439 6.491
Pa Si P Se
4 1 2 1
Cartesian
0.000 7.159 4.748 Pa
4.007 2.295 1.573 Pa
2.004 5.942 1.434 Pa
2.004 3.513 4.887 Pa
2.004 3.508 -0.085 Si
0.000 2.439 6.491 P
2.004 1.220 3.245 P
0.000 4.727 3.161 Se
```

=====

Entry 3:
Density functional theory data (PBE) for crystalline LuCu2Ni at its relaxed geometry.

Output
DOS at the Fermi energy   0.68 states/eV per atom
Total magnetization   0.00 μB per cell
ΔE_f   -0.195 eV/atom

Geometry as POSCAR:
```
LuCu2Ni
1.0
4.114 0.000 0.000
2.057 3.563 0.000
2.057 1.188 4.343
Ni Lu Cu
1 1 2
Cartesian
4.114 2.375 2.171 Ni
0.000 0.000 0.000 Lu
6.171 3.563 2.721 Cu
2.057 1.188 1.621 Cu
```

=====

Entry 4:
Density functional theory data (PBE) for crystalline LiCoRuC at its relaxed geometry.

Output
DOS at the Fermi energy   0.65 states/eV per atom
Total magnetization   0.00 μB per cell
ΔE_f   0.682 eV/atom

Geometry as POSCAR:
```
LiCoRuC
1.0
3.733 0.000 0.000
1.866 3.233 0.000
1.866 1.078 3.048
Ru C Co Li
1 1 1 1
Cartesian
0.000 0.000 0.000 Ru
1.866 1.078 0.762 C
3.733 2.155 1.524 Co
5.599 3.233 2.286 Li
```

=====

Repeat the third record exactly.
Density functional theory data (PBE) for crystalline LuCu2Ni at its relaxed geometry.

Output
DOS at the Fermi energy   0.68 states/eV per atom
Total magnetization   0.00 μB per cell
ΔE_f   -0.195 eV/atom

Geometry as POSCAR:
```
LuCu2Ni
1.0
4.114 0.000 0.000
2.057 3.563 0.000
2.057 1.188 4.343
Ni Lu Cu
1 1 2
Cartesian
4.114 2.375 2.171 Ni
0.000 0.000 0.000 Lu
6.171 3.563 2.721 Cu
2.057 1.188 1.621 Cu
```